# Li2CaAs2 PBE-GGA optimized geometry
data_Li2CaAs2
_chemical_formula_sum 'Li2 Ca1 As2'
_cell_length_a 4.205
_cell_length_b 4.205
_cell_length_c 6.251
_cell_angle_alpha 109.66
_cell_angle_beta 109.66
_cell_angle_gamma 90.00
_symmetry_space_group_name_H-M 'P 1'
_symmetry_Int_Tables_number 1
_symmetry_space_group_name_Hall 'P 1'
loop_
_atom_site_label
_atom_site_type_symbol
_atom_site_fract_x
_atom_site_fract_y
_atom_site_fract_z
Li1 Li 0.750 0.250 0.500
Li2 Li 0.250 0.750 0.500
Ca1 Ca 0.000 0.000 0.000
As1 As 0.614 0.614 0.229
As2 As 0.386 0.386 0.771
# ΔH_f (0 K)	-0.8061	eV/atom
# N(E_F)	1.0	states/eV/cell